# Ho2TmPt9 PBE-GGA relaxed
data_Ho2TmPt9
_symmetry_space_group_name_H-M 'P 4/m m m'
_symmetry_Int_Tables_number 123
_symmetry_space_group_name_Hall '-P 4 2'
_cell_length_a 4.103
_cell_length_b 4.103
_cell_length_c 12.309
_cell_angle_alpha 90.00
_cell_angle_beta 90.00
_cell_angle_gamma 90.00
loop_
_atom_site_label
_atom_site_fract_x
_atom_site_fract_y
_atom_site_fract_z
Ho1 0.000 0.000 0.167
Tm1 0.000 0.000 0.500
Pt1 0.000 0.500 0.000
Pt2 0.000 0.500 0.335
Pt3 0.500 0.500 0.167
Pt4 0.500 0.500 0.500
# ΔH_f (0 K)	-24.61	kcal/mol of atoms

***

# FeTe2Pd2 PBE-GGA relaxed
data_FeTe2Pd2
_symmetry_space_group_name_H-M 'P 4/m b m'
_symmetry_Int_Tables_number 127
_symmetry_space_group_name_Hall '-P 4 2ab'
_cell_length_a 7.135
_cell_length_b 7.135
_cell_length_c 3.763
_cell_angle_alpha 90.00
_cell_angle_beta 90.00
_cell_angle_gamma 90.00
loop_
_atom_site_label
_atom_site_fract_x
_atom_site_fract_y
_atom_site_fract_z
Fe1 0.000 0.000 0.000
Te1 0.175 0.325 0.500
Pd1 0.135 0.635 0.000
# formation energy (no corrections)	31.2	kJ per mole of atoms

***

# Li2Be2CuPd5 PBE-GGA relaxed
data_Li2Be2CuPd5
_symmetry_space_group_name_H-M 'P 4/m b m'
_symmetry_Int_Tables_number 127
_symmetry_space_group_name_Hall '-P 4 2ab'
_cell_length_a 9.611
_cell_length_b 9.611
_cell_length_c 2.974
_cell_angle_alpha 90.00
_cell_angle_beta 90.00
_cell_angle_gamma 90.00
loop_
_atom_site_label
_atom_site_fract_x
_atom_site_fract_y
_atom_site_fract_z
Li1 0.174 0.326 0.000
Be1 0.129 0.629 0.000
Cu1 0.000 0.000 0.000
Pd1 0.000 0.500 0.500
Pd2 0.069 0.792 0.500
# ΔH_f (0 K)	-9.91	kcal/mol of atoms

***

# Zr2FeRh PBE-GGA relaxed
data_Zr2FeRh
_symmetry_space_group_name_H-M 'C 1 2/m 1'
_symmetry_Int_Tables_number 12
_symmetry_space_group_name_Hall '-C 2y'
_cell_length_a 8.073
_cell_length_b 3.153
_cell_length_c 5.781
_cell_angle_alpha 90.00
_cell_angle_beta 101.36
_cell_angle_gamma 90.00
loop_
_atom_site_label
_atom_site_fract_x
_atom_site_fract_y
_atom_site_fract_z
Zr1 0.244 0.000 0.239
Fe1 0.000 0.500 0.000
Rh1 0.000 0.000 0.500
# ΔH_f (0 K)	-3.03	kcal/mol of atoms

***

| no. | raw total energy (eV/f.u.) | total moment (μB per formula unit) |
| --- | --- | --- |
| 1 | -80.8 | 0.0 |
| 2 | -23.5 | 0.1 |
| 3 | -45.6 | 0.0 |
| 4 | -33.4 | 1.1 |